First-principles (PBE) data for crystalline CaZrTa at its relaxed geometry, as listed in Alexandria.

polymorph energy (0 for the lowest one)	849	meV/atom
ΔH_f (0 K)	1270	meV per atom
spin magnetization	1.91	μB per formula unit
SG	No. 216
crystal system	cubic

Cell: 4.937 4.937 4.937 Å, 60.00 60.00 60.00°
Each line ends with the local moment (μB).
Fractional coordinates of all 3 atoms:
Ca  0.500  0.500  0.500  0.04
Zr  0.000  0.000  0.000  0.39
Ta  0.750  0.750  0.750  0.91